(1)
This record from Alexandria via LeMat-Bulk describes a geometry-optimized ZnGa6Pd12 structure. The functional is PBE-GGA.

The space group is R-3 (No. 148, hexagonal axes) and the conventional cell measures 10.8593, 10.8593 and 9.9651 Å, with angles of 90.00, 90.00 and 120.00 degrees. The distinct sites, in fractional coordinates, are Zn at (0.0000, 0.0000, 0.0000), Ga at (0.0462, 0.8304, 0.6788), Pd at (0.0468, 0.8014, 0.9271) and Pd at (0.0554, 0.8106, 0.4233).

(2)
This record from Alexandria via LeMat-Bulk describes a geometry-optimized ZrMnTlB2 structure. The functional is PBE-GGA.

The space group is P4/mmm (No. 123) and the conventional cell measures 4.3968, 4.3968 and 5.4924 Å, with angles of 90.00, 90.00 and 90.00 degrees. The distinct sites, in fractional coordinates, are Zr at (0.0000, 0.0000, 0.0000), Mn at (0.5000, 0.5000, 0.5000), Tl at (0.0000, 0.0000, 0.5000) and B at (0.0000, 0.5000, 0.0000).

(3)
This record from Alexandria via LeMat-Bulk describes a geometry-optimized AcTb4Sm2Tm structure. The functional is PBE-GGA.

The space group is P4/mmm (No. 123) and the conventional cell measures 5.9615, 5.9615 and 7.5898 Å, with angles of 90.00, 90.00 and 90.00 degrees. The distinct sites, in fractional coordinates, are Ac at (0.0000, 0.0000, 0.0000), Tb at (0.0000, 0.5000, 0.2631), Sm at (0.0000, 0.0000, 0.5000), Sm at (0.5000, 0.5000, 0.0000) and Tm at (0.5000, 0.5000, 0.5000).

Number 1: energy relative to the elements -0.406 eV per atom. Number 2: energy relative to the elements 2.087 eV per atom. Number 3: energy relative to the elements 0.133 eV per atom.